1.
# PBE Pm2Ho8Tc, relaxed
data_Pm2Ho8Tc
_cell_length_a 18.2807
_cell_length_b 5.4517
_cell_length_c 6.6175
_cell_angle_alpha 90.00
_cell_angle_beta 92.38
_cell_angle_gamma 90.00
_space_group_name_H-M_alt 'C 1 2/m 1'
_space_group_IT_number 12
loop_
_space_group_symop_operation_xyz
'x,y,z'
'-x,-y,-z'
'-x,y,-z'
'x,-y,z'
'x+1/2,y+1/2,z'
'-x+1/2,-y+1/2,-z'
'-x+1/2,y+1/2,-z'
'x+1/2,-y+1/2,z'
loop_
_atom_site_label
_atom_site_fract_x
_atom_site_fract_y
_atom_site_fract_z
Pm1 0.2288 0.0000 0.1680
Ho1 0.0336 0.0000 0.2657
Ho2 0.0791 0.5000 0.8761
Ho3 0.1431 0.5000 0.3800
Ho4 0.1601 0.0000 0.6660
Tc1 0.0000 0.5000 0.5000
# - Calculated volume: 658.93 Å³ per cell
# - Formation enthalpy at 0 K: 0.020 eV/atom
# - Energy: -5.115 eV per atom
# - N(E_F): 32.45 states/eV per cell



2.
# PBE VCdBr2, relaxed
data_VCdBr2
_cell_length_a 7.2324
_cell_length_b 7.2324
_cell_length_c 7.2324
_cell_angle_alpha 90.00
_cell_angle_beta 90.00
_cell_angle_gamma 90.00
_space_group_name_H-M_alt 'F m -3 m'
_space_group_IT_number 225
_space_group_name_Hall '-F 4 2 3'
loop_
_atom_site_label
_atom_site_fract_x
_atom_site_fract_y
_atom_site_fract_z
V1 0.0000 0.0000 0.0000
Cd1 0.0000 0.0000 0.5000
Br1 0.2500 0.2500 0.2500
# - Calculated volume: 378.31 Å³ per cell
# - Energy: -3.184 eV per atom
# - N(E_F): 22.50 states/eV per cell
# - Formation energy (no corrections): 0.160 eV per atom
# - Relative energy among the computed polymorphs: 628 meV/atom



3.
# PBE Tb5Co4, relaxed
data_Tb5Co4
_cell_length_a 10.8983
_cell_length_b 3.9270
_cell_length_c 9.4978
_cell_angle_alpha 90.00
_cell_angle_beta 110.32
_cell_angle_gamma 90.00
_space_group_name_H-M_alt 'C 1 2/m 1'
_space_group_IT_number 12
loop_
_space_group_symop_operation_xyz
'x,y,z'
'-x,-y,-z'
'-x,y,-z'
'x,-y,z'
'x+1/2,y+1/2,z'
'-x+1/2,-y+1/2,-z'
'-x+1/2,y+1/2,-z'
'x+1/2,-y+1/2,z'
loop_
_atom_site_label
_atom_site_fract_x
_atom_site_fract_y
_atom_site_fract_z
Tb1 0.0000 0.0000 0.0000
Tb2 0.1094 0.0000 0.3964
Tb3 0.2326 0.0000 0.8193
Co1 0.0403 0.5000 0.8260
Co2 0.0944 0.5000 0.6110
# - Calculated volume: 381.19 Å³ per cell
# - Formation enthalpy at 0 K: -0.165 eV/atom
# - Energy: -5.895 eV per atom
# - N(E_F): 14.59 states/eV per cell



4.
# PBE PdWAu2, relaxed
data_PdWAu2
_cell_length_a 7.3693
_cell_length_b 7.3693
_cell_length_c 5.4318
_cell_angle_alpha 90.00
_cell_angle_beta 90.00
_cell_angle_gamma 90.00
_space_group_name_H-M_alt 'I -4 2 d'
_space_group_IT_number 122
_space_group_name_Hall 'I -4 2bw'
loop_
_atom_site_label
_atom_site_fract_x
_atom_site_fract_y
_atom_site_fract_z
Pd1 0.0000 0.0000 0.0000
W1 0.0000 0.0000 0.5000
Au1 0.2386 0.7500 0.6250
# - Calculated volume: 294.98 Å³ per cell
# - Formation enthalpy at 0 K: 0.774 eV/atom
# - Energy: -5.401 eV per atom
# - N(E_F): 23.21 states/eV per cell
# - Relative energy among the computed polymorphs: 427 meV/atom



5.
# PBE NaTlCdTe2, relaxed
data_NaTlCdTe2
_cell_length_a 16.7596
_cell_length_b 4.8242
_cell_length_c 11.3124
_cell_angle_alpha 90.00
_cell_angle_beta 126.81
_cell_angle_gamma 90.00
_space_group_name_H-M_alt 'C 1 2/m 1'
_space_group_IT_number 12
loop_
_space_group_symop_operation_xyz
'x,y,z'
'-x,-y,-z'
'-x,y,-z'
'x,-y,z'
'x+1/2,y+1/2,z'
'-x+1/2,-y+1/2,-z'
'-x+1/2,y+1/2,-z'
'x+1/2,-y+1/2,z'
loop_
_atom_site_label
_atom_site_fract_x
_atom_site_fract_y
_atom_site_fract_z
Na1 0.1357 0.0000 0.3772
Tl1 0.2224 0.5000 0.1551
Cd1 0.0526 0.5000 0.6997
Te1 0.0924 0.0000 0.8717
Te2 0.1562 0.5000 0.5663
# - Calculated volume: 732.31 Å³ per cell
# - Energy: -2.708 eV per atom
# - Formation energy (no corrections): -0.531 eV per atom



6.
# PBE Pm3Mn3Ge8, relaxed
data_Pm3Mn3Ge8
_cell_length_a 4.0533
_cell_length_b 10.1678
_cell_length_c 13.0781
_cell_angle_alpha 90.00
_cell_angle_beta 90.00
_cell_angle_gamma 90.00
_space_group_name_H-M_alt 'I m m m'
_space_group_IT_number 71
_space_group_name_Hall '-I 2 2'
loop_
_atom_site_label
_atom_site_fract_x
_atom_site_fract_y
_atom_site_fract_z
Pm1 0.0000 0.0000 0.0000
Pm2 0.0000 0.0000 0.3025
Mn1 0.0000 0.2021 0.5000
Mn2 0.0000 0.5000 0.0000
Ge1 0.0000 0.3048 0.1158
Ge2 0.0000 0.3625 0.3478
# - Calculated volume: 538.99 Å³ per cell
# - Formation enthalpy at 0 K: -0.318 eV/atom
# - Energy: -5.939 eV per atom
# - N(E_F): 14.92 states/eV per cell



7.
# PBE CsMoC3, relaxed
data_CsMoC3
_cell_length_a 4.2938
_cell_length_b 4.2938
_cell_length_c 4.2938
_cell_angle_alpha 90.00
_cell_angle_beta 90.00
_cell_angle_gamma 90.00
_space_group_name_H-M_alt 'P m -3 m'
_space_group_IT_number 221
_space_group_name_Hall '-P 4 2 3'
loop_
_atom_site_label
_atom_site_fract_x
_atom_site_fract_y
_atom_site_fract_z
Cs1 0.0000 0.0000 0.0000
Mo1 0.5000 0.5000 0.5000
C1 0.0000 0.0000 0.5000
# - Calculated volume: 79.16 Å³ per cell
# - Formation enthalpy at 0 K: 4.547 eV/atom
# - Energy: -3.325 eV per atom
# - N(E_F): 7.45 states/eV per cell
# - Relative energy among the computed polymorphs: 2790 meV/atom



8.
# PBE Sm4Dy4Th3, relaxed
data_Sm4Dy4Th3
_cell_length_a 35.0333
_cell_length_b 5.7646
_cell_length_c 3.5740
_cell_angle_alpha 90.00
_cell_angle_beta 90.04
_cell_angle_gamma 90.00
_space_group_name_H-M_alt 'C 1 2/m 1'
_space_group_IT_number 12
loop_
_space_group_symop_operation_xyz
'x,y,z'
'-x,-y,-z'
'-x,y,-z'
'x,-y,z'
'x+1/2,y+1/2,z'
'-x+1/2,-y+1/2,-z'
'-x+1/2,y+1/2,-z'
'x+1/2,-y+1/2,z'
loop_
_atom_site_label
_atom_site_fract_x
_atom_site_fract_y
_atom_site_fract_z
Sm1 0.0970 0.0000 0.0005
Sm2 0.2195 0.5000 0.0010
Dy1 0.0458 0.5000 0.0006
Dy2 0.1887 0.0000 0.4999
Th1 0.0000 0.0000 0.5000
Th2 0.1315 0.5000 0.5010
# - Calculated volume: 721.77 Å³ per cell
# - Formation enthalpy at 0 K: 0.068 eV/atom
# - Energy: -5.345 eV per atom
# - N(E_F): 37.17 states/eV per cell